No. 1
# PBE CuTcSb, optimized geometry
# **Offset from the most stable computed form**: 0.0615 eV per atom
# **Spin magnetization**: 0.00 μB per cell
# **E_tot**: -72.69 eV/cell
data_CuTcSb
_chemical_formula_sum 'Cu4 Tc4 Sb4'
_cell_length_a 8.584
_cell_length_b 3.716
_cell_length_c 7.541
_cell_angle_alpha 90.00
_cell_angle_beta 101.59
_cell_angle_gamma 90.00
_symmetry_space_group_name_H-M 'C 1 2/m 1'
_symmetry_Int_Tables_number 12
_symmetry_space_group_name_Hall '-C 2y'
loop_
_atom_site_label
_atom_site_fract_x
_atom_site_fract_y
_atom_site_fract_z
Cu1 0.089 0.000 0.183
Tc1 0.136 0.500 0.955
Sb1 0.174 0.000 0.690

---

No. 2
# PBE CuTcSb, optimized geometry
# **Offset from the most stable computed form**: 0.2910 eV per atom
# **Spin magnetization**: 0.00 μB per cell
# **E_tot**: -69.94 eV/cell
data_CuTcSb
_chemical_formula_sum 'Cu4 Tc4 Sb4'
_cell_length_a 6.102
_cell_length_b 6.102
_cell_length_c 6.102
_cell_angle_alpha 90.00
_cell_angle_beta 90.00
_cell_angle_gamma 90.00
_symmetry_space_group_name_H-M 'F -4 3 m'
_symmetry_Int_Tables_number 216
_symmetry_space_group_name_Hall 'F -4 2 3'
loop_
_atom_site_label
_atom_site_fract_x
_atom_site_fract_y
_atom_site_fract_z
Cu1 0.000 0.000 0.000
Tc1 0.250 0.250 0.250
Sb1 0.000 0.000 0.500

---

No. 3
# PBE CuTc3Sb, optimized geometry
# **Offset from the most stable computed form**: 0.0000 eV per atom
# **Spin magnetization**: 3.34 μB per cell
# **E_tot**: -32.18 eV/cell
data_CuTc3Sb
_chemical_formula_sum 'Cu1 Tc3 Sb1'
_cell_length_a 4.514
_cell_length_b 4.514
_cell_length_c 4.514
_cell_angle_alpha 90.00
_cell_angle_beta 90.00
_cell_angle_gamma 90.00
_symmetry_space_group_name_H-M 'P m -3 m'
_symmetry_Int_Tables_number 221
_symmetry_space_group_name_Hall '-P 4 2 3'
loop_
_atom_site_label
_atom_site_fract_x
_atom_site_fract_y
_atom_site_fract_z
Cu1 0.000 0.000 0.000
Tc1 0.000 0.000 0.500
Sb1 0.500 0.500 0.500

---

Calculated values (kJ/mol of formula units) of formation energy (no corrections) for the records, taken in order: 40 106 688.
Calculated values (Å³/cell) of V for the records, taken in order: 236 227 92.